Entry 1:
The following is a PBE calculation of a geometry-optimized Pm5Er4Tm structure, from Alexandria via LeMat-Bulk.

Properties
The energy above the most stable polymorph in this dataset comes out at 0.018 eV/atom. Its volume is 32.60 Å³ per atom. The space group is No. 12. The calculation puts the formation energy at 37 meV per atom.

```
10
Lattice="8.4902 -1.7733 0.0000 8.4902 1.7733 0.0000 -3.6783 0.0000 10.8261" Properties=species:S:1:pos:R:3 pbc="T T T"
Pm 0.0000 0.0000 0.0000
Pm 1.6568 0.0000 9.5648
Pm 3.7394 0.0000 4.6012
Pm 9.5626 0.0000 6.2250
Pm 11.6452 0.0000 1.2614
Er 0.6771 0.0000 3.2110
Er 6.3148 0.0000 2.2800
Er 6.9871 0.0000 8.5462
Er 12.6249 0.0000 7.6151
Tm -1.8392 0.0000 5.4131
```

Entry 2:
The following is a PBE calculation of a geometry-optimized PmEr12Tm7 structure, from Alexandria via LeMat-Bulk.

Properties
The energy above the most stable polymorph in this dataset comes out at 0.000 eV/atom. Its volume is 31.83 Å³ per atom. The space group is No. 148. The calculation puts the formation energy at 243 meV per atom.

```
20
Lattice="5.9287 3.4230 5.2279 -5.9287 3.4230 5.2279 0.0000 -6.8459 5.2279" Properties=species:S:1:pos:R:3 pbc="T T T"
Pm 0.0000 0.0000 0.0000
Er -1.4300 -1.4130 4.6172
Er -3.1307 0.9824 7.0420
Er -2.4161 -2.2201 8.6417
Er -0.5087 1.9449 4.6173
Er 0.7146 -3.2025 7.0420
Er 1.9387 -0.5319 4.6173
Er -1.9387 0.5319 11.0665
Er -0.7146 3.2025 8.6417
Er 0.5087 -1.9449 11.0665
Er 2.4161 2.2201 7.0420
Er 3.1307 -0.9824 8.6417
Er 1.4300 1.4130 11.0665
Tm -2.1659 -4.7487 6.5297
Tm -5.1954 -0.4986 9.1540
Tm -3.0295 4.2500 6.5297
Tm 0.0000 0.0000 7.8419
Tm 3.0295 -4.2500 9.1540
Tm 5.1954 0.4986 6.5297
Tm 2.1659 4.7487 9.1540
```

Entry 3:
The following is a PBE calculation of a geometry-optimized Pm2Er4Tm structure, from Alexandria via LeMat-Bulk.

Properties
Its volume is 32.25 Å³ per atom. The space group is No. 1. The calculation puts the formation energy at 158 meV per atom.

```
14
Lattice="6.3170 0.0000 0.0000 3.1547 8.0036 0.0000 3.1524 -0.5783 8.9310" Properties=species:S:1:pos:R:3 pbc="T T T"
Pm 0.0000 0.0000 0.0000
Pm 4.6639 7.0346 4.7347
Pm 6.3221 6.6243 0.5300
Pm 5.3892 3.3101 0.2744
Er 2.0241 2.0267 1.9044
Er 3.2807 5.3424 1.7708
Er 5.1783 4.0184 7.5662
Er 3.6096 1.0634 6.2337
Er 6.4334 0.7085 7.6928
Er 8.0166 5.7029 6.3149
Er 4.8692 0.3578 3.1544
Er 6.7642 4.9957 3.2388
Tm 3.7779 3.6793 4.4154
Tm 6.9433 2.3824 5.0593
```